# 1
A relaxed structure of Er2SnHg4, computed with PBE.

Geometry as POSCAR:
```
Er2SnHg4
1.0
4.906 0.000 1.533
2.214 4.379 1.533
0.141 0.087 8.168
Er Sn Hg
2 1 4
Cartesian
5.249 3.228 9.054 Er
2.012 1.237 2.179 Er
0.000 0.000 0.000 Sn
6.174 3.797 6.095 Hg
1.087 0.669 5.139 Hg
4.121 2.534 4.047 Hg
3.140 1.931 7.187 Hg
```

For the calculated total energy, the calculation gives -2.378 eV/atom. As for the space group: R-3m, No. 166. The calculation puts the calculated volume at 24.879 Å³ per atom. The calculation puts the energy of formation from the pure elements at -7.62 kcal/mol of atoms.

=====

# 2
A relaxed structure of CaGdI2, computed with PBE.

Geometry as POSCAR:
```
CaGdI2
1.0
4.142 0.000 0.000
2.071 3.587 0.000
2.071 1.196 10.518
I Ca Gd
2 1 1
Cartesian
2.071 1.196 7.246 I
6.213 3.587 3.271 I
4.142 2.391 5.259 Ca
0.000 0.000 0.000 Gd
```

The raw formation energy comes out at -76.00 kJ/mol of atoms. For the calculated total energy, the calculation gives -5.583 eV/atom. As for the space group: R-3m, No. 166. The calculation puts the calculated volume at 39.070 Å³ per atom.

=====

# 3
A relaxed structure of La3IrBr2, computed with PBE.

Geometry as POSCAR:
```
La3IrBr2
1.0
4.018 0.000 -0.770
-0.419 5.827 -2.188
-0.533 -0.342 8.087
La Ir Br
3 1 2
Cartesian
2.131 3.586 0.248 La
0.000 0.000 0.000 La
0.935 1.900 4.881 La
-0.210 2.914 -1.094 Ir
0.603 4.565 3.149 Br
2.462 0.921 1.980 Br
```

The raw formation energy comes out at -119.53 kJ/mol of atoms. For the calculated total energy, the calculation gives -5.737 eV/atom. As for the space group: Immm, No. 71. The calculation puts the calculated volume at 30.644 Å³ per atom.

=====

# 4
A relaxed structure of Li2LaHfS4, computed with PBE.

Geometry as POSCAR:
```
Li2LaHfS4
1.0
3.819 0.000 0.000
0.000 6.592 -0.087
0.000 2.369 6.350
Li La Hf S
2 1 1 4
Cartesian
0.000 2.369 6.350 Li
1.910 1.184 3.175 Li
1.910 3.296 -0.044 La
0.000 4.481 3.132 Hf
0.000 6.700 4.479 S
3.819 2.261 1.784 S
1.910 5.566 1.676 S
1.910 3.396 4.587 S
```

The raw formation energy comes out at -155.15 kJ/mol of atoms. For the calculated total energy, the calculation gives -6.010 eV/atom. As for the space group: P2/m, No. 10. The calculation puts the calculated volume at 20.084 Å³ per atom.